Material: Mn3Tl3TcO8
Method: DFT, PBE+U
State: optimized geometry

a b c (Å): 6.4183 6.4183 7.4175
angles (deg): 115.59 115.59 59.93
Closest atoms and distances in Å follow each position.
Sites, in units of the cell vectors:
Mn 0.0000 0.0000 0.0000  6 O 2.04-2.24
Mn 0.0000 0.5000 0.0000  6 O 2.04-2.25
Mn 0.5000 0.0000 0.0000  6 O 2.04-2.25
Tl 0.0000 0.5000 0.5000  6 O 2.76-2.99
Tl 0.5000 0.0000 0.5000  6 O 2.76-2.99
Tl 0.5000 0.5000 0.5000  6 O 2.76-3.00
Tc 0.5000 0.5000 0.0000  6 O 1.97
O 0.2110 0.2110 0.1343  3 Mn 2.04
O 0.2608 0.7044 0.1687  1 Tc 1.97
O 0.2961 0.2961 0.8325  1 Tc 1.97
O 0.2956 0.7392 0.8313  1 Tc 1.97
O 0.7044 0.2608 0.1687  1 Tc 1.97
O 0.7039 0.7039 0.1675  1 Tc 1.97
O 0.7392 0.2956 0.8313  1 Tc 1.97
O 0.7890 0.7890 0.8657  3 Mn 2.04

## Properties
Space-group type: C2/m, No. 12
V in Å³ per atom: 15.3
DFT total energy in eV/atom: -6.5224
ρ in Mg/m³: 7.27
Density of states at the Fermi level in states/eV per cell: 2.8